Crystalline BaAgSbP2 at its relaxed geometry, computed with PBEsol.

Properties
formation energy from raw total energies: 645.4 meV per atom
VASP energy: -0.13504 Ha/atom
size of the total moment: 0.000 μB per atom
SG: P4/mmm (123)

Lattice parameters (Å, degrees): 5.032 5.032 6.423 90.00 90.00 90.00
Fractional coordinates of all 5 atoms:
Ba1 0.000 0.000 0.000
Ag1 0.500 0.500 0.000
Sb1 0.000 0.000 0.500
P1 0.000 0.500 0.500
P2 0.500 0.000 0.500



Crystalline BaAgPb at its relaxed geometry, computed with PBEsol.

Properties
energy of formation from the pure elements: -0.6 eV per formula unit
VASP energy: -0.12340 Ha/atom
size of the total moment: 0.001 μB per atom
SG: F-43m (216)

Lattice parameters (Å, degrees): 7.340 7.340 7.340 90.00 90.00 90.00
Fractional coordinates of all 12 atoms:
Ba1 0.000 0.000 0.000
Ba2 0.000 0.500 0.500
Ba3 0.500 0.000 0.500
Ba4 0.500 0.500 0.000
Ag1 0.250 0.250 0.250
Ag2 0.250 0.750 0.750
Ag3 0.750 0.250 0.750
Ag4 0.750 0.750 0.250
Pb1 0.000 0.000 0.500
Pb2 0.000 0.500 0.000
Pb3 0.500 0.000 0.000
Pb4 0.500 0.500 0.500



Crystalline BaAg2Pb at its relaxed geometry, computed with PBEsol.

Properties
energy of formation from the pure elements: -0.8 eV per formula unit
VASP energy: -0.12491 Ha/atom
size of the total moment: 0.000 μB per atom
SG: R-3m (166)

Lattice parameters (Å, degrees): 4.908 4.908 16.387 90.00 90.00 120.00
Fractional coordinates of all 12 atoms:
Ba1 0.000 0.000 0.000
Ba2 0.333 0.667 0.667
Ba3 0.667 0.333 0.333
Ag1 0.000 0.000 0.203
Ag2 0.000 0.000 0.797
Ag3 0.333 0.667 0.463
Ag4 0.333 0.667 0.870
Ag5 0.667 0.333 0.130
Ag6 0.667 0.333 0.537
Pb1 0.000 0.000 0.500
Pb2 0.333 0.667 0.167
Pb3 0.667 0.333 0.833



Crystalline Ba2AgPb at its relaxed geometry, computed with PBEsol.

Properties
energy of formation from the pure elements: -1.5 eV per formula unit
VASP energy: -0.12043 Ha/atom
size of the total moment: 0.000 μB per atom
SG: P4/mmm (123)

Lattice parameters (Å, degrees): 4.024 4.024 8.653 90.00 90.00 90.00
Fractional coordinates of all 4 atoms:
Ba1 0.000 0.000 0.238
Ba2 0.000 0.000 0.762
Ag1 0.500 0.500 0.000
Pb1 0.500 0.500 0.500



Crystalline BaAg2Pb at its relaxed geometry, computed with PBEsol.

Properties
energy of formation from the pure elements: -0.8 eV per formula unit
VASP energy: -0.12491 Ha/atom
size of the total moment: 0.000 μB per atom
SG: R3m (160)

Lattice parameters (Å, degrees): 4.811 4.811 17.128 90.00 90.00 120.00
Fractional coordinates of all 12 atoms:
Ba1 0.000 0.000 0.000
Ba2 0.333 0.667 0.667
Ba3 0.667 0.333 0.333
Ag1 0.000 0.000 0.199
Ag2 0.000 0.000 0.520
Ag3 0.333 0.667 0.187
Ag4 0.333 0.667 0.865
Ag5 0.667 0.333 0.532
Ag6 0.667 0.333 0.853
Pb1 0.000 0.000 0.796
Pb2 0.333 0.667 0.463
Pb3 0.667 0.333 0.129



Crystalline BaAg4Pb at its relaxed geometry, computed with PBEsol.

Properties
energy of formation from the pure elements: -1.0 eV per formula unit
VASP energy: -0.12513 Ha/atom
size of the total moment: 0.000 μB per atom
SG: F-43m (216)

Lattice parameters (Å, degrees): 5.731 5.731 5.731 60.00 60.00 60.00
Fractional coordinates of all 6 atoms:
Ba1 0.000 0.000 0.000
Ag1 0.126 0.625 0.625
Ag2 0.625 0.126 0.625
Ag3 0.625 0.625 0.126
Ag4 0.625 0.625 0.625
Pb1 0.250 0.250 0.250



Crystalline Ba2AgPb at its relaxed geometry, computed with PBEsol.

Properties
energy of formation from the pure elements: -0.7 eV per formula unit
VASP energy: -0.11273 Ha/atom
size of the total moment: 0.000 μB per atom
SG: R-3m (166)

Lattice parameters (Å, degrees): 4.435 4.435 27.983 90.00 90.00 120.00
Fractional coordinates of all 12 atoms:
Ba1 0.000 0.000 0.245
Ba2 0.000 0.000 0.755
Ba3 0.333 0.667 0.422
Ba4 0.333 0.667 0.912
Ba5 0.667 0.333 0.088
Ba6 0.667 0.333 0.578
Ag1 0.000 0.000 0.500
Ag2 0.333 0.667 0.167
Ag3 0.667 0.333 0.833
Pb1 0.000 0.000 0.000
Pb2 0.333 0.667 0.667
Pb3 0.667 0.333 0.333



Crystalline Ba2AgPb at its relaxed geometry, computed with PBEsol.

Properties
energy of formation from the pure elements: -1.5 eV per formula unit
VASP energy: -0.12003 Ha/atom
size of the total moment: 0.000 μB per atom
SG: P4/mmm (123)

Lattice parameters (Å, degrees): 5.968 5.968 3.990 90.00 90.00 90.00
Fractional coordinates of all 4 atoms:
Ba1 0.000 0.500 0.000
Ba2 0.500 0.000 0.000
Ag1 0.000 0.000 0.500
Pb1 0.500 0.500 0.500



Crystalline BaAgPb at its relaxed geometry, computed with PBEsol.

Properties
energy of formation from the pure elements: -1.2 eV per formula unit
VASP energy: -0.13019 Ha/atom
size of the total moment: 0.000 μB per atom
SG: P-6m2 (187)

Lattice parameters (Å, degrees): 5.090 5.090 4.076 90.00 90.00 120.00
Fractional coordinates of all 3 atoms:
Ba1 0.000 0.000 0.000
Ag1 0.667 0.333 0.500
Pb1 0.333 0.667 0.500



Crystalline BaRe2AgPb at its relaxed geometry, computed with PBEsol.

Properties
energy of formation from the pure elements: 9.5 eV per formula unit
VASP energy: -0.19538 Ha/atom
size of the total moment: 0.672 μB per atom
SG: P4/mmm (123)

Lattice parameters (Å, degrees): 5.155 5.155 5.165 90.00 90.00 90.00
Fractional coordinates of all 5 atoms:
Ba1 0.000 0.000 0.000
Re1 0.000 0.500 0.500
Re2 0.500 0.000 0.500
Ag1 0.500 0.500 0.000
Pb1 0.500 0.500 0.500



Crystalline BaAg2Pd at its relaxed geometry, computed with PBEsol.

Properties
energy of formation from the pure elements: 0.4 eV per formula unit
VASP energy: -0.13188 Ha/atom
size of the total moment: 0.000 μB per atom
SG: Fm-3m (225)

Lattice parameters (Å, degrees): 7.158 7.158 7.158 90.00 90.00 90.00
Fractional coordinates of all 16 atoms:
Ba1 0.000 0.000 0.000
Ba2 0.000 0.500 0.500
Ba3 0.500 0.000 0.500
Ba4 0.500 0.500 0.000
Ag1 0.250 0.250 0.250
Ag2 0.250 0.250 0.750
Ag3 0.250 0.750 0.250
Ag4 0.250 0.750 0.750
Ag5 0.750 0.250 0.250
Ag6 0.750 0.250 0.750
Ag7 0.750 0.750 0.250
Ag8 0.750 0.750 0.750
Pd1 0.000 0.000 0.500
Pd2 0.000 0.500 0.000
Pd3 0.500 0.000 0.000
Pd4 0.500 0.500 0.500



Crystalline Ba2AgPd at its relaxed geometry, computed with PBEsol.

Properties
energy of formation from the pure elements: -1.2 eV per formula unit
VASP energy: -0.13547 Ha/atom
size of the total moment: 0.000 μB per atom
SG: Fm-3m (225)

Lattice parameters (Å, degrees): 7.803 7.803 7.803 90.00 90.00 90.00
Fractional coordinates of all 16 atoms:
Ba1 0.250 0.250 0.250
Ba2 0.250 0.250 0.750
Ba3 0.250 0.750 0.250
Ba4 0.250 0.750 0.750
Ba5 0.750 0.250 0.250
Ba6 0.750 0.250 0.750
Ba7 0.750 0.750 0.250
Ba8 0.750 0.750 0.750
Ag1 0.000 0.000 0.000
Ag2 0.000 0.500 0.500
Ag3 0.500 0.000 0.500
Ag4 0.500 0.500 0.000
Pd1 0.000 0.000 0.500
Pd2 0.000 0.500 0.000
Pd3 0.500 0.000 0.000
Pd4 0.500 0.500 0.500



- What is the size of the total moment in the fifth record?
  0.000 μB per atom